Record 1
{"formula": "HgAu4", "functional": "GGA-PBE", "state": "optimized geometry", "lattice_angstrom": [[-3.372, 3.372, 2.072], [3.372, -3.372, 2.072], [3.372, 3.372, -2.072]], "species": ["Hg", "Au", "Au", "Au", "Au"], "frac_coords": [[0.000, 0.000, 0.000], [0.197, 0.599, 0.797], [0.401, 0.197, 0.598], [0.599, 0.803, 0.402], [0.803, 0.401, 0.203]], "formation_energy_ev_per_fu": 0.21, "polymorph_energy_mev_per_atom": 0}

Record 2
{"formula": "Ho3Hg2Au2", "functional": "GGA-PBE", "state": "optimized geometry", "lattice_angstrom": [[1.975, -11.826, 0.000], [1.975, 11.826, 0.000], [0.000, 0.000, 3.629]], "species": ["Ho", "Ho", "Ho", "Hg", "Hg", "Au", "Au"], "frac_coords": [[0.000, 0.000, 0.000], [0.158, 0.842, 0.000], [0.842, 0.158, 0.000], [0.424, 0.576, 0.500], [0.576, 0.424, 0.500], [0.291, 0.709, 0.500], [0.709, 0.291, 0.500]], "formation_energy_ev_per_fu": -4.36}

Record 3
{"formula": "Ho4HgAu", "functional": "GGA-PBE", "state": "optimized geometry", "lattice_angstrom": [[7.200, 0.000, 0.000], [0.000, 7.199, 0.000], [-0.259, 0.000, 7.065]], "species": ["Ho", "Ho", "Ho", "Ho", "Ho", "Ho", "Ho", "Ho", "Hg", "Hg", "Au", "Au"], "frac_coords": [[0.152, 0.158, 0.166], [0.152, 0.342, 0.666], [0.338, 0.651, 0.137], [0.338, 0.849, 0.637], [0.662, 0.151, 0.363], [0.662, 0.349, 0.863], [0.848, 0.658, 0.334], [0.848, 0.842, 0.834], [0.500, 0.000, 0.000], [0.500, 0.500, 0.500], [0.000, 0.000, 0.500], [0.000, 0.500, 0.000]], "formation_energy_ev_per_fu": -1.52}

Record 4
{"formula": "Ho4HgAu2", "functional": "GGA-PBE", "state": "optimized geometry", "lattice_angstrom": [[2.411, 1.392, 9.668], [-2.411, 1.392, 9.668], [0.000, -2.784, 9.668]], "species": ["Ho", "Ho", "Ho", "Ho", "Hg", "Au", "Au"], "frac_coords": [[0.117, 0.117, 0.117], [0.298, 0.298, 0.298], [0.702, 0.702, 0.702], [0.883, 0.883, 0.883], [0.500, 0.500, 0.500], [0.399, 0.399, 0.399], [0.601, 0.601, 0.601]], "formation_energy_ev_per_fu": -3.18, "polymorph_energy_mev_per_atom": 119}

Record 5
{"formula": "Ho3Hg2Au4", "functional": "GGA-PBE", "state": "optimized geometry", "lattice_angstrom": [[7.023, -5.597, 0.000], [7.023, 5.597, 0.000], [-1.009, 0.000, 5.156]], "species": ["Ho", "Ho", "Ho", "Ho", "Ho", "Ho", "Hg", "Hg", "Hg", "Hg", "Au", "Au", "Au", "Au", "Au", "Au", "Au", "Au"], "frac_coords": [[0.139, 0.861, 0.750], [0.217, 0.457, 0.916], [0.457, 0.217, 0.416], [0.543, 0.783, 0.584], [0.783, 0.543, 0.084], [0.861, 0.139, 0.250], [0.004, 0.768, 0.194], [0.232, 0.996, 0.306], [0.768, 0.004, 0.694], [0.996, 0.232, 0.806], [0.094, 0.358, 0.355], [0.321, 0.569, 0.472], [0.358, 0.094, 0.855], [0.431, 0.679, 0.028], [0.569, 0.321, 0.972], [0.642, 0.906, 0.145], [0.679, 0.431, 0.528], [0.906, 0.642, 0.645]], "formation_energy_ev_per_fu": -5.74}

Record 6
{"formula": "Ho3Hg2Au", "functional": "GGA-PBE", "state": "optimized geometry", "lattice_angstrom": [[5.175, 0.000, 0.000], [-2.588, 4.482, 0.000], [0.000, 0.000, 6.356]], "species": ["Ho", "Ho", "Ho", "Hg", "Hg", "Au"], "frac_coords": [[0.000, 0.000, 0.000], [0.333, 0.667, 0.654], [0.667, 0.333, 0.346], [0.333, 0.667, 0.155], [0.667, 0.333, 0.845], [0.000, 0.000, 0.500]], "formation_energy_ev_per_fu": -3.65, "polymorph_energy_mev_per_atom": 7}

Record 7
{"formula": "Ho12HgAu6", "functional": "GGA-PBE", "state": "optimized geometry", "lattice_angstrom": [[6.552, 3.783, 3.857], [-6.552, 3.783, 3.857], [0.000, -7.565, 3.857]], "species": ["Ho", "Ho", "Ho", "Ho", "Ho", "Ho", "Ho", "Ho", "Ho", "Ho", "Ho", "Ho", "Hg", "Au", "Au", "Au", "Au", "Au", "Au"], "frac_coords": [[0.066, 0.327, 0.927], [0.073, 0.934, 0.673], [0.177, 0.574, 0.427], [0.327, 0.927, 0.066], [0.426, 0.573, 0.823], [0.427, 0.177, 0.574], [0.573, 0.823, 0.426], [0.574, 0.427, 0.177], [0.673, 0.073, 0.934], [0.823, 0.426, 0.573], [0.927, 0.066, 0.327], [0.934, 0.673, 0.073], [0.000, 0.000, 0.000], [0.138, 0.306, 0.611], [0.306, 0.611, 0.138], [0.389, 0.862, 0.694], [0.611, 0.138, 0.306], [0.694, 0.389, 0.862], [0.862, 0.694, 0.389]], "formation_energy_ev_per_fu": -7.87}

Record 8
{"formula": "Ho4HgAu2", "functional": "GGA-PBE", "state": "optimized geometry", "lattice_angstrom": [[2.530, 1.461, 8.243], [-2.530, 1.461, 8.243], [0.000, -2.922, 8.243]], "species": ["Ho", "Ho", "Ho", "Ho", "Hg", "Au", "Au"], "frac_coords": [[0.120, 0.120, 0.120], [0.372, 0.372, 0.372], [0.628, 0.628, 0.628], [0.880, 0.880, 0.880], [0.500, 0.500, 0.500], [0.253, 0.253, 0.253], [0.747, 0.747, 0.747]], "formation_energy_ev_per_fu": -4.01, "polymorph_energy_mev_per_atom": 0}

Record 9
{"formula": "Ho4Hg5Au2", "functional": "GGA-PBE", "state": "optimized geometry", "lattice_angstrom": [[7.734, 0.000, 0.000], [0.000, 3.543, 0.000], [-0.910, 0.000, 9.806]], "species": ["Ho", "Ho", "Ho", "Ho", "Hg", "Hg", "Hg", "Hg", "Hg", "Au", "Au"], "frac_coords": [[0.180, 0.000, 0.369], [0.239, 0.000, 0.936], [0.761, 0.000, 0.064], [0.820, 0.000, 0.631], [0.169, 0.500, 0.644], [0.462, 0.500, 0.180], [0.500, 0.500, 0.500], [0.538, 0.500, 0.820], [0.831, 0.500, 0.356], [0.075, 0.500, 0.137], [0.925, 0.500, 0.863]], "formation_energy_ev_per_fu": -5.81}

Record 10
{"formula": "Ho3Hg4Au2", "functional": "GGA-PBE", "state": "optimized geometry", "lattice_angstrom": [[7.089, -5.719, 0.000], [7.089, 5.719, 0.000], [-0.943, 0.000, 5.231]], "species": ["Ho", "Ho", "Ho", "Ho", "Ho", "Ho", "Hg", "Hg", "Hg", "Hg", "Hg", "Hg", "Hg", "Hg", "Au", "Au", "Au", "Au"], "frac_coords": [[0.116, 0.884, 0.750], [0.198, 0.460, 0.921], [0.460, 0.198, 0.421], [0.540, 0.802, 0.579], [0.802, 0.540, 0.079], [0.884, 0.116, 0.250], [0.100, 0.336, 0.366], [0.317, 0.570, 0.475], [0.336, 0.100, 0.866], [0.430, 0.683, 0.025], [0.570, 0.317, 0.975], [0.664, 0.900, 0.134], [0.683, 0.430, 0.525], [0.900, 0.664, 0.634], [0.022, 0.761, 0.188], [0.239, 0.978, 0.312], [0.761, 0.022, 0.688], [0.978, 0.239, 0.812]], "formation_energy_ev_per_fu": -4.71}

Record 11
{"formula": "Ho7Hg2Au2", "functional": "GGA-PBE", "state": "optimized geometry", "lattice_angstrom": [[3.976, -5.508, 0.000], [3.976, 5.508, 0.000], [0.000, 0.000, 7.300]], "species": ["Ho", "Ho", "Ho", "Ho", "Ho", "Ho", "Ho", "Hg", "Hg", "Au", "Au"], "frac_coords": [[0.000, 0.000, 0.000], [0.000, 0.500, 0.269], [0.000, 0.500, 0.731], [0.500, 0.000, 0.269], [0.500, 0.000, 0.731], [0.500, 0.500, 0.256], [0.500, 0.500, 0.744], [0.181, 0.181, 0.500], [0.819, 0.819, 0.500], [0.294, 0.706, 0.000], [0.706, 0.294, 0.000]], "formation_energy_ev_per_fu": -3.22}

Record 12
{"formula": "Ho2Hg3Au2", "functional": "GGA-PBE", "state": "optimized geometry", "lattice_angstrom": [[2.266, -10.210, 0.000], [2.266, 10.210, 0.000], [0.000, 0.000, 3.601]], "species": ["Ho", "Ho", "Hg", "Hg", "Hg", "Au", "Au"], "frac_coords": [[0.166, 0.834, 0.000], [0.834, 0.166, 0.000], [0.000, 0.000, 0.000], [0.428, 0.572, 0.500], [0.572, 0.428, 0.500], [0.290, 0.710, 0.500], [0.710, 0.290, 0.500]], "formation_energy_ev_per_fu": -3.52}

Record 13
{"formula": "Ho4Hg3Au", "functional": "GGA-PBE", "state": "optimized geometry", "lattice_angstrom": [[3.671, 0.000, 0.000], [0.000, 3.671, 0.000], [0.000, 0.000, 14.734]], "species": ["Ho", "Ho", "Ho", "Ho", "Hg", "Hg", "Hg", "Au"], "frac_coords": [[0.000, 0.000, 0.117], [0.000, 0.000, 0.372], [0.000, 0.000, 0.628], [0.000, 0.000, 0.883], [0.500, 0.500, 0.248], [0.500, 0.500, 0.500], [0.500, 0.500, 0.752], [0.500, 0.500, 0.000]], "formation_energy_ev_per_fu": -4.66}

Record 14
{"formula": "Ho8HgAu2", "functional": "GGA-PBE", "state": "optimized geometry", "lattice_angstrom": [[8.928, -2.544, 0.000], [8.928, 2.544, 0.000], [-1.977, 0.000, 6.698]], "species": ["Ho", "Ho", "Ho", "Ho", "Ho", "Ho", "Ho", "Ho", "Hg", "Au", "Au"], "frac_coords": [[0.031, 0.031, 0.269], [0.200, 0.200, 0.824], [0.330, 0.330, 0.527], [0.408, 0.408, 0.037], [0.592, 0.592, 0.963], [0.670, 0.670, 0.473], [0.800, 0.800, 0.176], [0.969, 0.969, 0.731], [0.500, 0.500, 0.500], [0.185, 0.185, 0.221], [0.815, 0.815, 0.779]], "formation_energy_ev_per_fu": -4.44}

Record 15
{"formula": "Ho2Hg2Au", "functional": "GGA-PBE", "state": "optimized geometry", "lattice_angstrom": [[-3.333, 6.407, 3.006], [3.333, -6.407, 3.006], [3.333, 6.407, -3.006]], "species": ["Ho", "Ho", "Ho", "Ho", "Hg", "Hg", "Hg", "Hg", "Au", "Au"], "frac_coords": [[0.160, 0.216, 0.376], [0.340, 0.716, 0.056], [0.660, 0.284, 0.944], [0.840, 0.784, 0.624], [0.102, 0.653, 0.754], [0.398, 0.153, 0.551], [0.602, 0.847, 0.449], [0.898, 0.347, 0.246], [0.250, 0.250, 0.000], [0.750, 0.750, 0.000]], "formation_energy_ev_per_fu": -2.05, "polymorph_energy_mev_per_atom": 87}

Record 16
{"formula": "Ho4Hg3Au2", "functional": "GGA-PBE", "state": "optimized geometry", "lattice_angstrom": [[5.040, 0.000, 0.000], [-2.520, 4.364, 0.000], [0.000, 0.000, 9.853]], "species": ["Ho", "Ho", "Ho", "Ho", "Hg", "Hg", "Hg", "Au", "Au"], "frac_coords": [[0.000, 0.000, 0.171], [0.000, 0.000, 0.829], [0.333, 0.667, 0.384], [0.667, 0.333, 0.616], [0.000, 0.000, 0.500], [0.333, 0.667, 0.037], [0.667, 0.333, 0.963], [0.333, 0.667, 0.687], [0.667, 0.333, 0.313]], "formation_energy_ev_per_fu": -5.15}

Record 17
{"formula": "Ho2Hg3Au", "functional": "GGA-PBE", "state": "optimized geometry", "lattice_angstrom": [[3.406, 0.000, 0.000], [0.000, 4.886, 0.000], [0.000, 0.000, 8.452]], "species": ["Ho", "Ho", "Hg", "Hg", "Hg", "Au"], "frac_coords": [[0.000, 0.000, 0.000], [0.000, 0.500, 0.468], [0.500, 0.000, 0.646], [0.500, 0.500, 0.150], [0.500, 0.500, 0.814], [0.500, 0.000, 0.315]], "formation_energy_ev_per_fu": -2.88}

Record 18
{"formula": "Ho3Hg2Au", "functional": "GGA-PBE", "state": "optimized geometry", "lattice_angstrom": [[3.653, 0.000, 0.000], [0.000, 3.653, 0.000], [0.000, 0.000, 11.073]], "species": ["Ho", "Ho", "Ho", "Hg", "Hg", "Au"], "frac_coords": [[0.000, 0.000, 0.000], [0.000, 0.000, 0.343], [0.000, 0.000, 0.657], [0.500, 0.500, 0.167], [0.500, 0.500, 0.833], [0.500, 0.500, 0.500]], "formation_energy_ev_per_fu": -3.69, "polymorph_energy_mev_per_atom": 0}

Record 19
{"formula": "Ho2Hg2Au", "functional": "GGA-PBE", "state": "optimized geometry", "lattice_angstrom": [[1.803, -9.976, 0.000], [1.803, 9.976, 0.000], [0.000, 0.000, 3.456]], "species": ["Ho", "Ho", "Hg", "Hg", "Au"], "frac_coords": [[0.092, 0.908, 0.000], [0.908, 0.092, 0.000], [0.309, 0.691, 0.500], [0.691, 0.309, 0.500], [0.500, 0.500, 0.500]], "formation_energy_ev_per_fu": -2.49, "polymorph_energy_mev_per_atom": 0}

Record 20
{"formula": "Ho3Hg3Au2", "functional": "GGA-PBE", "state": "optimized geometry", "lattice_angstrom": [[7.711, 0.000, 0.000], [-3.856, 6.678, 0.000], [0.000, 0.000, 3.731]], "species": ["Ho", "Ho", "Ho", "Hg", "Hg", "Hg", "Au", "Au"], "frac_coords": [[0.000, 0.412, 0.000], [0.412, 0.000, 0.000], [0.588, 0.588, 0.000], [0.000, 0.770, 0.500], [0.230, 0.230, 0.500], [0.770, 0.000, 0.500], [0.333, 0.667, 0.500], [0.667, 0.333, 0.500]], "formation_energy_ev_per_fu": -4.96}